[1]
Here is a relaxed structure of Th6PSe2S3 from Alexandria via LeMat-Bulk. Energies are from PBE-GGA.

Fermi-level density of states ... 0.65 states/eV/atom
Energy relative to the elements, uncorrected ... -1.71 eV/atom

Lattice parameters (Å, degrees): 7.1480 7.1480 7.0950 99.68 99.68 120.04
Last column: nearest neighbours and their distance in Å.
Atoms (fractional coordinates):
Th1 0.4094 0.0863 0.2599  3 S 2.84-2.90, 1 P 2.89, 2 Se 2.98
Se1 0.3338 0.6662 0.0000  6 Th 2.98
S1 0.1701 0.8299 0.5000  6 Th 2.84-2.90
P1 0.0000 0.0000 0.0000  6 Th 2.89
Th2 0.0863 0.4094 0.2599  3 S 2.84-2.90, 1 P 2.89, 2 Se 2.98
S2 0.8299 0.1701 0.5000  6 Th 2.84-2.90
Th3 0.7643 0.7643 0.2614  3 S 2.87-2.93, 1 P 2.89, 2 Se 2.98
S3 0.5000 0.5000 0.5000  6 Th 2.84-2.93
Th4 0.5906 0.9137 0.7401  3 S 2.84-2.90, 1 P 2.89, 2 Se 2.98
Th5 0.9137 0.5906 0.7401  3 S 2.84-2.90, 1 P 2.89, 2 Se 2.98
Th6 0.2357 0.2357 0.7386  3 S 2.87-2.93, 1 P 2.89, 2 Se 2.98
Se2 0.6662 0.3338 0.0000  6 Th 2.98

***

[2]
Here is a relaxed structure of CoCu2S from Alexandria via LeMat-Bulk. Energies are from PBE-GGA.

Fermi-level density of states ... 1.04 states/eV/atom
Energy relative to the elements, uncorrected ... 0.29 eV/atom

Lattice parameters (Å, degrees): 6.9476 6.9476 5.3950 49.92 49.92 90.00
Last column: nearest neighbours and their distance in Å.
Atoms (fractional coordinates):
Cu1 0.5751 0.1250 0.2500  2 S 2.29, 2 Cu 2.34
Cu2 0.1749 0.6250 0.2500  2 S 2.29, 2 Cu 2.34
S1 0.2500 0.7500 0.5000  2 Co 2.23, 4 Cu 2.29
Co1 0.0000 0.0000 0.0000  2 S 2.23
Cu3 0.8750 0.8251 0.7500  2 S 2.29, 2 Cu 2.34
S2 0.5000 0.5000 0.0000  2 Co 2.23, 4 Cu 2.29
Co2 0.7500 0.2500 0.5000  2 S 2.23
Cu4 0.3750 0.4249 0.7500  2 S 2.29, 2 Cu 2.34

***

[3]
Here is a relaxed structure of In3MoOs from Alexandria via LeMat-Bulk. Energies are from PBE-GGA.

Fermi-level density of states ... 0.34 states/eV/atom
Excess energy over the best structure of this formula in the dataset ... 0 meV/atom

Lattice parameters (Å, degrees): 5.1561 5.1561 5.1561 90.00 90.00 90.00
Last column: nearest neighbours and their distance in Å.
Atoms (fractional coordinates):
In1 0.5000 0.0000 0.0000  2 Os 2.58
In2 0.0000 0.5000 0.0000  2 Os 2.58
Os1 0.0000 0.0000 0.0000  6 In 2.58
Mo1 0.5000 0.5000 0.5000  12 In 3.65
In3 0.0000 0.0000 0.5000  2 Os 2.58

***

[4]
Here is a relaxed structure of PmTm6Sc from Alexandria via LeMat-Bulk. Energies are from PBE-GGA.

Fermi-level density of states ... 1.25 states/eV/atom
Excess energy over the best structure of this formula in the dataset ... 0 meV/atom

Lattice parameters (Å, degrees): 4.9032 6.9617 6.9617 90.00 90.00 90.00
Last column: nearest neighbours and their distance in Å.
Atoms (fractional coordinates):
Tm1 0.5000 0.0000 0.5000  8 Tm 3.47, 2 Sc 3.48, 2 Pm 3.48
Pm1 0.5000 0.0000 0.0000  12 Tm 3.48-3.50
Sc1 0.5000 0.5000 0.5000  12 Tm 3.44-3.48
Tm2 0.0000 0.7458 0.7458  8 Tm 3.42-3.54, 2 Sc 3.44, 2 Pm 3.50
Tm3 0.0000 0.2540 0.7460  8 Tm 3.42-3.54, 2 Sc 3.45, 2 Pm 3.50
Tm4 0.0000 0.2542 0.2542  8 Tm 3.42-3.54, 2 Sc 3.44, 2 Pm 3.50
Tm5 0.5000 0.5000 0.0000  8 Tm 3.47, 2 Pm 3.48, 2 Sc 3.48
Tm6 0.0000 0.7460 0.2540  8 Tm 3.42-3.54, 2 Sc 3.45, 2 Pm 3.50

***

[5]
Here is a relaxed structure of Y2CrRu from Alexandria via LeMat-Bulk. Energies are from PBE-GGA.

Raw total energy ... -31.3 eV for the cell shown
Fermi-level density of states ... 1.20 states/eV/atom

Lattice parameters (Å, degrees): 3.1271 3.1271 8.6455 90.00 90.00 90.00
Last column: nearest neighbours and their distance in Å.
Atoms (fractional coordinates):
Y1 0.5000 0.5000 0.3141  4 Cr 3.04, 4 Y 3.13, 1 Ru 3.30
Cr1 0.0000 0.0000 0.5548  4 Ru 2.53
Ru1 0.5000 0.5000 0.6961  4 Cr 2.53
Y2 0.0000 0.0000 0.9350  4 Ru 3.03, 4 Y 3.13, 1 Cr 3.29

***

[6]
Here is a relaxed structure of BSe2I from Alexandria via LeMat-Bulk. Energies are from PBE-GGA.

Fermi-level density of states ... 0.00 states/eV/atom
Excess energy over the best structure of this formula in the dataset ... 0 meV/atom
Energy relative to the elements, uncorrected ... 0.00 eV/atom

Lattice parameters (Å, degrees): 7.1125 6.0143 14.6884 90.00 90.00 90.00
Last column: nearest neighbours and their distance in Å.
Atoms (fractional coordinates):
Se1 0.5443 0.7067 0.1994  2 B 1.94-2.04
Se2 0.2373 0.5030 0.3797  1 B 1.91
Se3 0.0443 0.7933 0.6994  2 B 1.94-2.04
I1 0.0460 0.3670 0.1129  1 Se 2.58
B1 0.4222 0.5108 0.2857  3 Se 1.91-2.04
Se4 0.7373 0.9970 0.8797  1 B 1.91
B2 0.4222 0.0108 0.2143  3 Se 1.91-2.04
Se5 0.5443 0.2067 0.3006  2 B 1.94-2.04
B3 0.9222 0.4892 0.7143  3 Se 1.91-2.04
I2 0.5460 0.1330 0.6129  1 Se 2.58
Se6 0.0443 0.2933 0.8006  2 B 1.94-2.04
Se7 0.2373 0.0030 0.1203  1 B 1.91
B4 0.9222 0.9892 0.7857  3 Se 1.91-2.04
I3 0.0460 0.8670 0.3871  1 Se 2.58
I4 0.5460 0.6330 0.8871  1 Se 2.58
Se8 0.7373 0.4970 0.6203  1 B 1.91

***

[7]
Here is a relaxed structure of YSb2Ru from Alexandria via LeMat-Bulk. Energies are from PBE-GGA.

Fermi-level density of states ... 0.96 states/eV/atom
Energy relative to the elements, uncorrected ... -0.46 eV/atom

Lattice parameters (Å, degrees): 4.2622 4.2622 6.4066 70.18 70.18 60.51
Last column: nearest neighbours and their distance in Å.
Atoms (fractional coordinates):
Y1 0.7500 0.7500 0.7500  6 Sb 3.06-3.07
Sb1 0.5198 0.5198 0.4413  3 Ru 2.71
Ru1 0.2500 0.2500 0.2500  6 Sb 2.71
Sb2 0.9802 0.9802 0.0587  3 Ru 2.71

***

[8]
Here is a relaxed structure of NiAg2Au2 from Alexandria via LeMat-Bulk. Energies are from PBE-GGA.

Fermi-level density of states ... 0.26 states/eV/atom
Excess energy over the best structure of this formula in the dataset ... 122 meV/atom

Lattice parameters (Å, degrees): 6.7482 6.7482 3.9634 90.00 90.00 90.00
Last column: nearest neighbours and their distance in Å.
Atoms (fractional coordinates):
Au1 0.6620 0.8380 0.5000  6 Ag 2.72-2.86
Ag1 0.1428 0.3572 0.0000  2 Ni 2.60, 6 Au 2.72-2.86, 1 Ag 2.73
Au2 0.3380 0.1620 0.5000  6 Ag 2.72-2.86
Au3 0.1620 0.6620 0.5000  6 Ag 2.72-2.86
Ag2 0.3572 0.8572 0.0000  2 Ni 2.60, 6 Au 2.72-2.86, 1 Ag 2.73
Ag3 0.8572 0.6428 0.0000  2 Ni 2.60, 6 Au 2.72-2.86, 1 Ag 2.73
Ni1 0.5000 0.5000 0.0000  4 Ag 2.60
Ni2 0.0000 0.0000 0.0000  4 Ag 2.60
Ag4 0.6428 0.1428 0.0000  2 Ni 2.60, 6 Au 2.72-2.86, 1 Ag 2.73
Au4 0.8380 0.3380 0.5000  6 Ag 2.72-2.86

***

[9]
Here is a relaxed structure of KCoTe2N from Alexandria via LeMat-Bulk. Energies are from PBE-GGA.

Fermi-level density of states ... 0.45 states/eV/atom
Excess energy over the best structure of this formula in the dataset ... 0 meV/atom
Energy relative to the elements, uncorrected ... 0.01 eV/atom

Lattice parameters (Å, degrees): 5.8360 5.8360 3.3831 90.00 90.00 90.00
Last column: nearest neighbours and their distance in Å.
Atoms (fractional coordinates):
Co1 0.0000 0.0000 0.0000  2 N 1.69
K1 0.5000 0.5000 0.5000  8 Te 3.37, 2 K 3.38
Te1 0.0000 0.5000 0.0000  2 Co 2.92
Te2 0.5000 0.0000 0.0000  2 Co 2.92
N1 0.0000 0.0000 0.5000  2 Co 1.69

***

[10]
Here is a relaxed structure of Na3AsPt from Alexandria via LeMat-Bulk. Energies are from PBE-GGA.

Fermi-level density of states ... 0.58 states/eV/atom
Excess energy over the best structure of this formula in the dataset ... 602 meV/atom

Lattice parameters (Å, degrees): 5.4028 5.4028 5.4028 90.00 90.00 90.00
Last column: nearest neighbours and their distance in Å.
Atoms (fractional coordinates):
Na1 0.0000 0.0000 0.5000  2 Pt 2.70
Na2 0.5000 0.0000 0.0000  2 Pt 2.70
Na3 0.0000 0.5000 0.0000  2 Pt 2.70
Pt1 0.0000 0.0000 0.0000  6 Na 2.70
As1 0.5000 0.5000 0.5000  12 Na 3.82

***

[11]
Here is a relaxed structure of ZrMnBe2 from Alexandria via LeMat-Bulk. Energies are from PBE-GGA.

Fermi-level density of states ... 0.88 states/eV/atom
Excess energy over the best structure of this formula in the dataset ... 455 meV/atom

Lattice parameters (Å, degrees): 3.8730 3.8730 8.1138 76.19 76.19 90.00
Last column: nearest neighbours and their distance in Å.
Atoms (fractional coordinates):
Mn1 0.2500 0.7500 0.5000  4 Be 2.14
Be1 0.3748 0.6250 0.2500  2 Be 1.94, 2 Mn 2.14
Be2 0.3750 0.6248 0.7500  2 Be 1.94, 2 Mn 2.14
Zr1 0.7500 0.2500 0.5000  4 Mn 2.74, 8 Be 2.89
Be3 0.8750 0.6252 0.7500  2 Be 1.94, 2 Mn 2.14
Mn2 0.5000 0.5000 0.0000  4 Be 2.14
Be4 0.3752 0.1250 0.2500  2 Be 1.94, 2 Mn 2.14
Zr2 0.0000 0.0000 0.0000  4 Mn 2.74, 8 Be 2.89

***

[12]
Here is a relaxed structure of YCu4Os from Alexandria via LeMat-Bulk. Energies are from PBE-GGA.

Raw total energy ... -33.8 eV for the cell shown
Fermi-level density of states ... 0.79 states/eV/atom

Lattice parameters (Å, degrees): 4.9748 4.9748 4.9748 60.00 60.00 60.00
Last column: nearest neighbours and their distance in Å.
Atoms (fractional coordinates):
Y1 0.0000 0.0000 0.0000  12 Cu 2.92, 4 Os 3.05
Cu1 0.3762 0.3762 0.3762  6 Cu 2.46-2.51
Cu2 0.3762 0.8713 0.3762  6 Cu 2.46-2.51
Os1 0.7500 0.7500 0.7500  12 Cu 2.91, 4 Y 3.05
Cu3 0.8713 0.3762 0.3762  6 Cu 2.46-2.51
Cu4 0.3762 0.3762 0.8713  6 Cu 2.46-2.51

***

Number 1: density 9.4 g/cm3. Number 2: density 6.7 g/cm3. Number 3: density 7.6 g/cm3. Number 4: density 8.4 g/cm3. Number 5: density 6.5 g/cm3. Number 6: density 3.1 g/cm3. Number 7: density 7.7 g/cm3. Number 8: density 12.3 g/cm3. Number 9: density 5.3 g/cm3. Number 10: density 3.6 g/cm3. Number 11: density 4.8 g/cm3. Number 12: density 10.2 g/cm3.